Record 1
Below is an optimized crystal structure of HfFeAg2Sb, with properties calculated at the PBEsol level.

Geometry as POSCAR:
```
HfFeAg2Sb
1.0
5.1283 0.0000 0.0000
0.0000 5.1283 0.0000
0.0000 0.0000 4.4052
Hf Fe Ag Sb
1 1 2 1
Direct
0.0000 0.0000 0.0000 Hf
0.0000 0.0000 0.5000 Fe
0.0000 0.5000 0.0000 Ag
0.5000 0.0000 0.0000 Ag
0.5000 0.5000 0.5000 Sb
```

Summary:
- total DFT energy (no corrections) (eV/atom) = -4.8830

=====

Record 2
Below is an optimized crystal structure of SrHfFe2Ag, with properties calculated at the PBEsol level.

Geometry as POSCAR:
```
SrHfFe2Ag
1.0
4.8103 0.0000 0.0000
0.0000 4.8103 0.0000
0.0000 0.0000 5.1557
Sr Hf Fe Ag
1 1 2 1
Direct
0.0000 0.0000 0.0000 Sr
0.5000 0.5000 0.0000 Hf
0.0000 0.5000 0.5000 Fe
0.5000 0.0000 0.5000 Fe
0.0000 0.0000 0.5000 Ag
```

Summary:
- total DFT energy (no corrections) (eV/atom) = -5.2276

=====

Record 3
Below is an optimized crystal structure of FeAg2Hg, with properties calculated at the PBEsol level.

Geometry as POSCAR:
```
FeAg2Hg
1.0
2.8618 0.0000 0.0000
0.0000 2.8618 0.0000
0.0000 0.0000 7.9349
Fe Ag Hg
1 2 1
Direct
0.0000 0.0000 0.0000 Fe
0.0000 0.0000 0.4812 Ag
0.5000 0.5000 0.2252 Ag
0.5000 0.5000 0.7583 Hg
```

Summary:
- total DFT energy (no corrections) (eV/atom) = -3.7896

=====

Record 4
Below is an optimized crystal structure of FeAg4Hg, with properties calculated at the PBEsol level.

Geometry as POSCAR:
```
FeAg4Hg
1.0
0.0000 3.7643 3.7643
3.7643 0.0000 3.7643
3.7643 3.7643 0.0000
Fe Ag Hg
1 4 1
Direct
0.0000 0.0000 0.0000 Fe
0.1242 0.6253 0.6253 Ag
0.6253 0.1242 0.6253 Ag
0.6253 0.6253 0.1242 Ag
0.6253 0.6253 0.6253 Ag
0.2500 0.2500 0.2500 Hg
```

Summary:
- total DFT energy (no corrections) (eV/atom) = -3.3374

=====

Record 5
Below is an optimized crystal structure of FeAgHg2, with properties calculated at the PBEsol level.

Geometry as POSCAR:
```
FeAgHg2
1.0
4.4817 -1.4765 0.0000
4.4817 1.4765 0.0000
-0.9329 0.0000 5.3343
Fe Ag Hg
1 1 2
Direct
0.0000 0.0000 0.0000 Fe
0.5000 0.5000 0.5000 Ag
0.2553 0.2553 0.7613 Hg
0.7447 0.7447 0.2387 Hg
```

Summary:
- energy relative to the lowest polymorph listed for this composition (eV/atom) = 0.029
- total DFT energy (no corrections) (eV/atom) = -3.0097

=====

Record 6
Below is an optimized crystal structure of FeAgHg2, with properties calculated at the PBEsol level.

Geometry as POSCAR:
```
FeAgHg2
1.0
5.3151 -1.4550 0.0000
5.3151 1.4550 0.0000
-1.8585 0.0000 4.5198
Fe Ag Hg
1 1 2
Direct
0.0000 0.0000 0.0000 Fe
0.2755 0.2755 0.6540 Ag
0.5095 0.5095 0.4946 Hg
0.7355 0.7355 0.1173 Hg
```

Summary:
- energy relative to the lowest polymorph listed for this composition (eV/atom) = 0.000
- total DFT energy (no corrections) (eV/atom) = -3.0389

=====

Record 7
Below is an optimized crystal structure of FeAgHg2, with properties calculated at the PBEsol level.

Geometry as POSCAR:
```
FeAgHg2
1.0
0.0000 3.2617 3.2617
3.2617 0.0000 3.2617
3.2617 3.2617 0.0000
Fe Ag Hg
1 1 2
Direct
0.0000 0.0000 0.0000 Fe
0.5000 0.5000 0.5000 Ag
0.2500 0.2500 0.2500 Hg
0.7500 0.7500 0.7500 Hg
```

Summary:
- energy relative to the lowest polymorph listed for this composition (eV/atom) = 0.027
- total DFT energy (no corrections) (eV/atom) = -3.0121

=====

Record 8
Below is an optimized crystal structure of FeAg2Hg, with properties calculated at the PBEsol level.

Geometry as POSCAR:
```
FeAg2Hg
1.0
2.8512 0.0000 0.0000
0.0000 2.8512 0.0000
0.0000 0.0000 8.0902
Fe Ag Hg
1 2 1
Direct
0.0000 0.0000 0.0000 Fe
0.5000 0.5000 0.2243 Ag
0.5000 0.5000 0.7757 Ag
0.0000 0.0000 0.5000 Hg
```

Summary:
- total DFT energy (no corrections) (eV/atom) = -3.7663